No. 1
Material: Tb2ErAg
Method: DFT, PBE
State: relaxed

Values from the calculation:
excess energy over the best structure of this formula in the dataset: 186 meV/atom
formation energy from the elements: 0.218 eV per formula unit
Fermi-level density of states: 3.56 states/eV/f.u.
E_tot: -4.11 eV/atom

a b c (Å): 7.596 7.596 7.596
angles (deg): 90.00 90.00 90.00
Space group Fm-3m (No. 225)
Symmetry-distinct sites (fractional):
Tb  0.250  0.250  0.250 [8 per cell]
Er  0.000  0.000  0.000 [4 per cell]
Ag  0.000  0.000  0.500 [4 per cell]

No. 2
Material: Tb2ErAg
Method: DFT, PBE
State: relaxed

Values from the calculation:
excess energy over the best structure of this formula in the dataset: 111 meV/atom
formation energy from the elements: -0.081 eV per formula unit
Fermi-level density of states: 3.95 states/eV/f.u.
E_tot: -4.19 eV/atom

a b c (Å): 3.5414 3.5414 31.4651
angles (deg): 90.00 90.00 120.00
Space group R-3m (No. 166, hexagonal axes)
Symmetry-distinct sites (fractional):
Tb  0.0000  0.0000  0.2423 [6 per cell]
Er  0.0000  0.0000  0.0000 [3 per cell]
Ag  0.0000  0.0000  0.5000 [3 per cell]

No. 3
Material: TbEr2Ag2
Method: DFT, PBE
State: relaxed

Values from the calculation:
excess energy over the best structure of this formula in the dataset: 147 meV/atom
formation energy from the elements: -0.487 eV per formula unit
Fermi-level density of states: 5.17 states/eV/f.u.
E_tot: -3.99 eV/atom

a b c (Å): 5.237 4.860 10.832
angles (deg): 90.00 94.20 90.00
Space group P2_1/m (No. 11)
Symmetry-distinct sites (fractional):
Tb  0.193  0.250  0.242 [2 per cell]
Er  0.252  0.750  0.494 [2 per cell]
Er  0.345  0.250  0.889 [2 per cell]
Ag  0.145  0.750  0.008 [2 per cell]
Ag  0.268  0.250  0.633 [2 per cell]

No. 4
Material: TbEr3Ag2
Method: DFT, PBE
State: relaxed

Values from the calculation:
excess energy over the best structure of this formula in the dataset: 0 meV/atom
formation energy from the elements: -1.241 eV per formula unit
Fermi-level density of states: 5.72 states/eV/f.u.
E_tot: -4.21 eV/atom

a b c (Å): 3.590 3.590 12.194
angles (deg): 90.00 90.00 90.00
Space group P4/mmm (No. 123)
Symmetry-distinct sites (fractional):
Tb  0.000  0.000  0.000 [1 per cell]
Er  0.500  0.500  0.203 [2 per cell]
Er  0.500  0.500  0.500 [1 per cell]
Ag  0.000  0.000  0.351 [2 per cell]

No. 5
Material: Tb3ErAg3
Method: DFT, PBE
State: relaxed

Values from the calculation:
formation energy from the elements: -1.003 eV per formula unit
Fermi-level density of states: 5.96 states/eV/f.u.
E_tot: -4.00 eV/atom

a b c (Å): 9.896 10.687 7.030
angles (deg): 90.00 91.23 90.00
Space group C2/m (No. 12)
Symmetry-distinct sites (fractional):
Tb  0.000  0.181  0.000 [4 per cell]
Tb  0.000  0.264  0.500 [4 per cell]
Tb  0.130  0.500  0.852 [4 per cell]
Er  0.243  0.500  0.356 [4 per cell]
Ag  0.071  0.000  0.317 [4 per cell]
Ag  0.241  0.244  0.229 [8 per cell]

No. 6
Material: Tb2ErAg
Method: DFT, PBE
State: relaxed

Values from the calculation:
excess energy over the best structure of this formula in the dataset: 120 meV/atom
formation energy from the elements: -0.045 eV per formula unit
Fermi-level density of states: 5.41 states/eV/f.u.
E_tot: -4.18 eV/atom

a b c (Å): 3.5748 3.5748 31.1075
angles (deg): 90.00 90.00 120.00
Space group R3m (No. 160, hexagonal axes)
Symmetry-distinct sites (fractional):
Tb  0.0000  0.0000  0.0000 [3 per cell]
Tb  0.0000  0.0000  0.1820 [3 per cell]
Er  0.0000  0.0000  0.7578 [3 per cell]
Ag  0.0000  0.0000  0.5907 [3 per cell]

No. 7
Material: TbErAg
Method: DFT, PBE
State: relaxed

Values from the calculation:
excess energy over the best structure of this formula in the dataset: 27 meV/atom
formation energy from the elements: -0.524 eV per formula unit
Fermi-level density of states: 2.98 states/eV/f.u.
E_tot: -4.19 eV/atom

a b c (Å): 12.910 3.749 8.385
angles (deg): 90.00 126.45 90.00
Space group C2/m (No. 12)
Symmetry-distinct sites (fractional):
Tb  0.102  0.000  0.376 [4 per cell]
Er  0.150  0.500  0.058 [4 per cell]
Ag  0.130  0.500  0.683 [4 per cell]

No. 8
Material: Tb2ErAg6
Method: DFT, PBE
State: relaxed

Values from the calculation:
formation energy from the elements: -2.248 eV per formula unit
Fermi-level density of states: 5.16 states/eV/f.u.
E_tot: -3.69 eV/atom

a b c (Å): 5.306 16.148 5.312
angles (deg): 90.00 119.68 90.00
Space group C2/m (No. 12)
Symmetry-distinct sites (fractional):
Tb  0.000  0.165  0.000 [4 per cell]
Er  0.000  0.000  0.500 [2 per cell]
Ag  0.160  0.500  0.822 [4 per cell]
Ag  0.167  0.335  0.336 [8 per cell]